(1)
A geometry-optimized FeHPd2Ru structure, computed with PBE-GGA.

extended XYZ file:
```
5
Lattice="-3.334 -1.536 1.315 1.497 -0.169 3.597 -1.386 3.649 0.748" Properties=species:S:1:pos:R:3 pbc="T T T"
Ru -0.693 1.825 0.374
Fe -1.612 0.972 2.830
Pd 0.748 -0.085 1.798
Pd -1.667 -0.768 0.658
H 0.000 0.000 0.000
```

Its density of states at the Fermi level is 4.20 states/eV/f.u. Its symmetry is P4/mmm. As for the crystal system: tetragonal. Its uncorrected energy is -30.9 eV for the cell shown.

(2)
A geometry-optimized CaNb2TcBr structure, computed with PBE-GGA.

extended XYZ file:
```
5
Lattice="4.786 0.000 0.000 0.000 5.086 0.000 0.000 0.000 4.786" Properties=species:S:1:pos:R:3 pbc="T T T"
Nb 0.000 0.000 2.393
Nb 2.393 0.000 0.000
Ca 0.000 2.543 0.000
Tc 2.393 2.543 2.393
Br 0.000 0.000 0.000
```

Its density of states at the Fermi level is 4.99 states/eV/f.u. The calculation puts the uncorrected formation energy at 28.915 kcal/mol of atoms. Its symmetry is P4/mmm. As for the crystal system: tetragonal.

(3)
A geometry-optimized KZrMo structure, computed with PBE-GGA.

extended XYZ file:
```
3
Lattice="-2.557 3.901 1.431 -0.398 1.049 4.748 2.304 3.886 1.841" Properties=species:S:1:pos:R:3 pbc="T T T"
K -0.488 6.627 6.015
Mo 0.000 0.000 0.000
Zr -0.326 4.418 4.010
```

Its density of states at the Fermi level is 3.73 states/eV/f.u. Its symmetry is F-43m. As for the crystal system: cubic. The polymorph energy (0 for the lowest one) comes out at 1763.0 meV/atom.

(4)
A geometry-optimized BaPdBr3 structure, computed with PBE-GGA.

extended XYZ file:
```
5
Lattice="-0.526 -2.512 4.644 5.110 -1.416 -0.187 1.328 4.454 2.560" Properties=species:S:1:pos:R:3 pbc="T T T"
Br 2.555 -0.708 -0.093
Br 0.664 2.227 1.280
Br -0.263 -1.256 2.322
Ba 2.956 0.263 3.508
Pd 0.000 0.000 0.000
```

Its density of states at the Fermi level is 1.15 states/eV/f.u. The calculation puts the uncorrected formation energy at -27.945 kcal/mol of atoms. Its symmetry is Pm-3m. As for the crystal system: cubic. The polymorph energy (0 for the lowest one) comes out at 0.0 meV/atom.

(5)
A geometry-optimized Cs2LaTeF6 structure, computed with PBE-GGA.

extended XYZ file:
```
10
Lattice="-0.208 -3.164 -5.912 6.435 -1.756 0.713 1.436 -7.490 0.151" Properties=species:S:1:pos:R:3 pbc="T T T"
Cs 2.170 -6.557 -4.180
Cs 5.492 -5.853 -0.868
F 2.079 -5.561 -0.904
F 5.584 -6.849 -4.144
F 1.527 -1.207 -1.275
F 4.699 -3.713 -3.924
F 1.421 -2.818 -4.287
F 4.806 -2.102 -0.912
Te 3.113 -2.460 -2.600
La 0.000 0.000 0.000
```

Its density of states at the Fermi level is 5.63 states/eV/f.u. The calculation puts the uncorrected formation energy at -63.193 kcal/mol of atoms. Its symmetry is I4/mmm. As for the crystal system: tetragonal.

(6)
A geometry-optimized Cs3H4N2 structure, computed with PBE-GGA.

extended XYZ file:
```
9
Lattice="-0.756 0.056 3.340 0.939 -5.862 -1.445 8.981 2.623 1.989" Properties=species:S:1:pos:R:3 pbc="T T T"
Cs 5.439 -0.069 2.989
Cs 0.000 0.000 0.000
Cs 3.725 -3.115 0.896
H 1.842 -1.064 2.191
H 7.322 -2.119 1.693
H 6.268 -2.971 3.225
H 2.896 -0.213 0.659
N 2.466 -0.239 2.318
N 6.699 -2.944 1.566
```

Its density of states at the Fermi level is 1.57 states/eV/f.u. Its symmetry is C2/m. As for the crystal system: monoclinic. Its uncorrected energy is -30.7 eV for the cell shown.